A geometry-optimized CaMgVO2 structure. Source: Alexandria, functional PBE+U.

The total energy is -4.45 eV per atom. The volume is 16.2 Å³/atom. The total magnetization comes out at 4.68 μB per cell.

The space group is P4/mmm (No. 123) and the conventional cell measures 4.194, 4.194 and 4.613 Å, with angles of 90.00, 90.00 and 90.00 degrees. The inequivalent atoms are Ca at (0.000, 0.000, 0.000), Mg at (0.500, 0.500, 0.500), V at (0.500, 0.500, 0.000) and O at (0.000, 0.500, 0.500).